Record 1
The following is a DFT calculation (PBE) of Pr2CdRh after structural relaxation.

## Properties
* calculated volume: 30.0 A^3/atom
* M_tot: 0.000 μB/atom
* ΔH_f (0 K): -39 kJ/mol of atoms
* E_tot: -19.46 eV per cell
* distance to the lowest polymorph of the same formula: 56 meV per atom

Cell: 4.1640 4.1640 8.3421 Å, 75.55 75.55 60.00°
Last column: nearest neighbours and their distance in Å.
Atoms (fractional coordinates):
Cd 0.5006 0.5006 0.4983  6 Pr 3.41-3.42
Rh 0.6656 0.6656 0.0031  6 Pr 2.85-2.89
Pr 0.0657 0.0657 0.8030  3 Rh 2.89
Pr 0.2681 0.2681 0.1956  3 Rh 2.85

=====

Record 2
The following is a DFT calculation (PBE) of Pr8Cd3Rh2 after structural relaxation.

## Properties
* calculated volume: 31.3 A^3/atom
* M_tot: 0.000 μB/atom
* ΔH_f (0 K): -25 kJ/mol of atoms
* E_tot: -59.09 eV per cell

Cell: 6.3525 7.7722 9.1794 Å, 115.05 82.47 90.00°
Last column: nearest neighbours and their distance in Å.
Atoms (fractional coordinates):
Pr 0.3626 0.1087 0.7079  2 Rh 2.85-2.95, 1 Cd 3.16
Pr 0.6374 0.4009 0.2921  2 Rh 2.85-2.95, 1 Cd 3.16
Pr 0.1891 0.5800 0.1600  1 Rh 2.82
Cd 0.0000 0.1730 0.0000  1 Cd 2.69
Rh 0.3295 0.7330 0.4659  6 Pr 2.82-3.00
Pr 0.6374 0.8913 0.2921  2 Rh 2.85-2.95, 1 Cd 3.16
Pr 0.1274 0.1890 0.3779  1 Rh 3.00
Rh 0.6705 0.2670 0.5341  6 Pr 2.82-3.00
Cd 0.5000 0.0000 0.0000  6 Pr 3.35-3.65, 4 Cd 3.45
Pr 0.8109 0.4200 0.8400  1 Rh 2.82
Cd 0.0000 0.8270 0.0000  1 Cd 2.69
Pr 0.3626 0.5991 0.7079  2 Rh 2.85-2.95, 1 Cd 3.16
Pr 0.8726 0.8110 0.6221  1 Rh 3.00

=====

Record 3
The following is a DFT calculation (PBE) of Pr2CdRh after structural relaxation.

## Properties
* calculated volume: 27.1 A^3/atom
* M_tot: 0.000 μB/atom
* ΔH_f (0 K): -39 kJ/mol of atoms
* E_tot: -77.78 eV per cell
* distance to the lowest polymorph of the same formula: 59 meV per atom

Cell: 6.1184 6.3915 11.5684 Å, 106.25 90.00 90.00°
Last column: nearest neighbours and their distance in Å.
Atoms (fractional coordinates):
Rh 0.8548 0.5629 0.4127  3 Pr 2.80-3.02, 1 Cd 2.81, 1 Rh 2.96
Rh 0.1452 0.4371 0.5873  3 Pr 2.80-3.02, 1 Cd 2.81, 1 Rh 2.96
Pr 0.3440 0.5518 0.3741  3 Rh 3.02-3.15, 4 Cd 3.23-3.36
Pr 0.8578 0.0513 0.3393  1 Rh 2.80
Cd 0.3521 0.0810 0.4253  1 Rh 2.81, 1 Cd 2.89
Pr 0.6560 0.0518 0.8741  3 Rh 3.02-3.15, 4 Cd 3.23-3.36
Cd 0.6479 0.5810 0.9253  1 Rh 2.81, 1 Cd 2.89
Pr 0.8578 0.4487 0.1607  1 Rh 2.80
Pr 0.1422 0.5513 0.8393  1 Rh 2.80
Pr 0.3440 0.9482 0.1259  3 Rh 3.02-3.15, 4 Cd 3.23-3.36
Cd 0.6479 0.9190 0.5747  1 Rh 2.81, 1 Cd 2.89
Pr 0.1422 0.9487 0.6607  1 Rh 2.80
Pr 0.6560 0.4482 0.6259  3 Rh 3.02-3.15, 4 Cd 3.23-3.36
Rh 0.1452 0.0629 0.9127  3 Pr 2.80-3.02, 1 Cd 2.81, 1 Rh 2.96
Cd 0.3521 0.4190 0.0747  1 Rh 2.81, 1 Cd 2.89
Rh 0.8548 0.9371 0.0873  3 Pr 2.80-3.02, 1 Cd 2.81, 1 Rh 2.96